YBi2Pt (GGA-PBEsol, optimized geometry); density = 12.25 Mg/m³; total DFT energy (no corrections) = -0.214 hartree per atom
1.0
-0.111 -5.001 -1.111
1.675 -1.651 -4.552
4.373 -2.653 -0.313
Y Bi Pt
1 2 1
direct
0.000 0.000 0.000
0.250 0.250 0.250
0.750 0.750 0.750
0.500 0.500 0.500

ZnBiPt3 (GGA-PBEsol, optimized geometry); density = 14.56 Mg/m³; total DFT energy (no corrections) = -0.179 hartree per atom
1.0
4.611 0.000 0.000
0.000 4.611 0.000
0.000 0.000 4.611
Zn Bi Pt
1 1 3
direct
0.000 0.000 0.000
0.500 0.500 0.500
0.000 0.500 0.000
0.000 0.000 0.500
0.500 0.000 0.000

Among the records above, which one has the lowest total DFT energy (no corrections)?
YBi2Pt

Which value of density does entry 2 give?
14.56 Mg/m³

total DFT energy (no corrections) of number 2 (ZnBiPt3)?
-0.179 hartree per atom